Entry 1:
# InTe2PbAuSe

A relaxed structure of InTe2PbAuSe (PBE, OQMD). Values from VASP.

```
&SYSTEM
  ibrav = 0, nat = 12, ntyp = 5
/
ATOMIC_SPECIES
Se 78.96 Se.upf
Te 127.60 Te.upf
In 114.82 In.upf
Pb 207.20 Pb.upf
Au 196.97 Au.upf
ATOMIC_POSITIONS angstrom
Se 5.2875 -6.9922 1.5200
Se 0.1419 -3.7312 -0.1306
Te 9.3160 -7.1033 1.3713
Te -3.8866 -3.6202 0.0182
Te -1.9191 -6.6675 1.7118
Te 7.3485 -4.0559 -0.3223
In 4.6328 -1.6477 -1.5990
In 0.7966 -9.0757 2.9884
Pb 2.7147 -5.3617 0.6947
Pb -0.0915 -1.0155 -1.7208
Au 10.0523 -4.7816 -0.0380
Au -4.6229 -5.9419 1.4274
CELL_PARAMETERS angstrom
-6.4587 -3.9695 0.3611
6.2756 1.9386 -3.8027
5.6125 -8.6925 4.8310
```

## Properties
The uncorrected energy is -3.40 eV per atom. Its symmetry is Cmcm, No. 63.

***

Entry 2:
# InPd2Au

A relaxed structure of InPd2Au (PBE, OQMD). Values from VASP.

```
&SYSTEM
  ibrav = 0, nat = 4, ntyp = 3
/
ATOMIC_SPECIES
Pd 106.42 Pd.upf
In 114.82 In.upf
Au 196.97 Au.upf
ATOMIC_POSITIONS angstrom
Pd 2.0913 0.0000 0.0000
Pd 0.0000 2.0913 0.0000
In 2.0913 2.0913 1.9515
Au 0.0000 0.0000 1.9515
CELL_PARAMETERS angstrom
4.1825 0.0000 0.0000
0.0000 4.1825 0.0000
0.0000 0.0000 3.9030
```

## Properties
The uncorrected energy is -4.53 eV per atom. Its symmetry is P4/mmm, No. 123.

***

Entry 3:
# InPd2Au

A relaxed structure of InPd2Au (PBE, OQMD). Values from VASP.

```
&SYSTEM
  ibrav = 0, nat = 8, ntyp = 3
/
ATOMIC_SPECIES
Pd 106.42 Pd.upf
Au 196.97 Au.upf
In 114.82 In.upf
ATOMIC_POSITIONS angstrom
Pd -2.6148 -3.9588 -2.7785
Pd -3.7471 -6.4231 -2.9301
Pd -2.5856 0.4500 -0.6684
Pd -3.7179 -2.0142 -0.8201
Au -4.8734 -4.5290 -0.9748
Au -1.4593 -1.4441 -2.6237
In -1.7217 -3.7469 -0.2305
In 0.0000 0.0000 0.0000
CELL_PARAMETERS angstrom
-3.9833 1.7534 1.2505
1.0939 -0.2327 -4.3879
-3.4433 -7.4938 -0.4611
```

## Properties
The uncorrected energy is -4.39 eV per atom. Its symmetry is P6_3/mmc, No. 194.

***

Entry 4:
# InPd2Au

A relaxed structure of InPd2Au (PBE, OQMD). Values from VASP.

```
&SYSTEM
  ibrav = 0, nat = 16, ntyp = 3
/
ATOMIC_SPECIES
Au 196.97 Au.upf
Pd 106.42 Pd.upf
In 114.82 In.upf
ATOMIC_POSITIONS angstrom
Au -2.2622 1.1275 -3.9338
Au -5.1417 -3.0118 -1.2436
Au -1.7613 -2.9555 -3.1732
Au -5.6438 1.0729 -2.0066
Pd -2.4444 -2.5267 -0.4324
Pd -7.0822 -0.9971 -0.6618
Pd -1.6893 -0.0277 0.9635
Pd -2.9482 1.5570 -1.1926
Pd -5.0727 -0.0832 2.8932
Pd -5.8278 -2.5821 1.4974
Pd -3.7033 -0.9419 -2.5884
Pd -6.3270 1.5019 0.7340
In -1.0064 -0.4563 -1.7777
In -6.3992 -1.4258 -3.4028
In -4.3863 -0.5132 0.1526
In -3.0171 -1.3717 -5.3293
CELL_PARAMETERS angstrom
-2.5132 3.1699 -4.3153
-1.5102 -4.9978 -2.7917
-6.7620 -0.1110 3.8567
```

## Properties
The uncorrected energy is -4.53 eV per atom. Its symmetry is P4/mmm, No. 123.

***

Entry 5:
# In2PdAu

A relaxed structure of In2PdAu (PBE, OQMD). Values from VASP.

```
&SYSTEM
  ibrav = 0, nat = 4, ntyp = 3
/
ATOMIC_SPECIES
Pd 106.42 Pd.upf
In 114.82 In.upf
Au 196.97 Au.upf
ATOMIC_POSITIONS angstrom
Pd 5.1181 5.1181 5.1181
In 1.7060 1.7060 1.7060
In 0.0000 0.0000 0.0000
Au 3.4121 3.4121 3.4121
CELL_PARAMETERS angstrom
0.0000 3.4121 3.4121
3.4121 0.0000 3.4121
3.4121 3.4121 0.0000
```

## Properties
The uncorrected energy is -3.61 eV per atom. Its symmetry is F-43m, No. 216.

***

Entry 6:
# In2PdAu2

A relaxed structure of In2PdAu2 (PBE, OQMD). Values from VASP.

```
&SYSTEM
  ibrav = 0, nat = 5, ntyp = 3
/
ATOMIC_SPECIES
Pd 106.42 Pd.upf
In 114.82 In.upf
Au 196.97 Au.upf
ATOMIC_POSITIONS angstrom
Pd 0.0000 0.0000 0.0000
In -3.4603 2.9762 7.2416
In -2.3333 2.0069 4.8831
Au -2.7386 -0.1556 2.9906
Au -2.6199 2.3536 2.0161
CELL_PARAMETERS angstrom
-3.0155 -0.0177 7.0369
-2.7781 5.0007 5.0878
0.4352 -2.7851 -7.1180
```

## Properties
The uncorrected energy is -3.53 eV per atom. Its symmetry is I4/mmm, No. 139.